First-principles (GGA-PBE) data for a geometry-optimized RbNaCuP structure, as listed in OQMD.

## Properties
For the electronic total energy, the calculation gives -25.24 eV for the cell shown. The calculated density comes out at 3.3 g cm⁻³.

Cell: 6.1291 5.4420 6.2906 Å, 90.00 105.29 90.00°
Positions (direct):
Na: 0.1487 0.2500 0.4759
Na: 0.8513 0.7500 0.5241
Cu: 0.0000 0.0000 0.0000
P: 0.1980 0.7500 0.2665
Rb: 0.5462 0.2500 0.1923
Cu: 0.0000 0.5000 0.0000
Rb: 0.4538 0.7500 0.8077
P: 0.8020 0.2500 0.7335